[1]
Al2ZnAg8 | Alexandria via LeMat-Bulk | PBE | optimized geometry; distance to the lowest polymorph of the same formula = 0.0 kJ per mole of atoms; magnetic moment = 0.0 μB per formula unit; raw total energy = -2.913 eV per atom
1.0
-0.687 -1.766 3.693
4.176 -4.726 -1.483
4.218 6.144 1.389
Al Zn Ag
2 1 8
Direct
0.222 0.644 0.445 Al
0.778 0.356 0.555 Al
0.500 0.000 0.000 Zn
0.598 0.457 0.195 Ag
0.320 0.079 0.641 Ag
0.144 0.201 0.287 Ag
0.045 0.733 0.090 Ag
0.856 0.799 0.713 Ag
0.680 0.921 0.359 Ag
0.402 0.543 0.805 Ag
0.955 0.267 0.910 Ag


[2]
AlZnAg6 | Alexandria via LeMat-Bulk | PBE | optimized geometry; distance to the lowest polymorph of the same formula = 0.0 kJ per mole of atoms; magnetic moment = 0.0 μB per formula unit; raw total energy = -2.784 eV per atom
1.0
4.119 0.000 0.000
0.000 4.119 0.000
0.000 0.000 8.077
Al Zn Ag
1 1 6
Direct
0.000 0.000 0.000 Al
0.000 0.000 0.500 Zn
0.500 0.500 0.000 Ag
0.500 0.500 0.500 Ag
0.500 0.000 0.249 Ag
0.500 0.000 0.751 Ag
0.000 0.500 0.249 Ag
0.000 0.500 0.751 Ag


[3]
Al3ZnAg2 | Alexandria via LeMat-Bulk | PBE | optimized geometry; magnetic moment = 0.0 μB per formula unit; raw total energy = -3.005 eV per atom
1.0
4.618 0.000 0.000
0.000 5.191 0.000
0.000 0.000 8.375
Al Zn Ag
6 2 4
Direct
0.500 0.101 0.081 Al
0.500 0.120 0.758 Al
0.000 0.448 0.414 Al
0.500 0.601 0.919 Al
0.500 0.620 0.242 Al
0.000 0.948 0.586 Al
0.000 0.944 0.915 Zn
0.000 0.444 0.085 Zn
0.000 0.951 0.246 Ag
0.500 0.138 0.420 Ag
0.000 0.451 0.754 Ag
0.500 0.638 0.580 Ag


[4]
Al2Zn4Ag5 | Alexandria via LeMat-Bulk | PBE | optimized geometry; distance to the lowest polymorph of the same formula = 8.4 kJ per mole of atoms; magnetic moment = 0.0 μB per formula unit; raw total energy = -2.355 eV per atom
1.0
2.840 0.000 0.000
0.000 8.731 0.000
-1.420 -4.366 7.806
Al Zn Ag
2 4 5
Direct
0.831 0.831 0.662 Al
0.169 0.169 0.338 Al
0.580 0.580 0.159 Zn
0.000 0.270 0.000 Zn
0.420 0.420 0.841 Zn
0.000 0.730 0.000 Zn
0.187 0.515 0.374 Ag
0.813 0.485 0.626 Ag
0.187 0.859 0.374 Ag
0.500 0.000 0.000 Ag
0.813 0.141 0.626 Ag


[5]
AlZn2Ag | Alexandria via LeMat-Bulk | PBE | optimized geometry; magnetic moment = 0.0 μB per formula unit; raw total energy = -2.237 eV per atom
1.0
-1.010 2.785 4.676
3.599 -0.469 4.180
-1.236 1.577 -5.160
Zn Al Ag
2 1 1
Direct
0.999 0.999 0.000 Zn
0.753 0.253 0.500 Zn
0.248 0.748 0.500 Al
0.500 0.500 0.000 Ag


[6]
Al2Zn2Ag7 | Alexandria via LeMat-Bulk | PBE | optimized geometry; distance to the lowest polymorph of the same formula = 5.0 kJ per mole of atoms; magnetic moment = 0.0 μB per formula unit; raw total energy = -2.696 eV per atom
1.0
5.051 -0.533 -0.769
-1.108 6.330 0.807
-1.108 -1.468 6.211
Al Zn Ag
2 2 7
Direct
0.543 0.261 0.261 Al
0.457 0.739 0.739 Al
0.500 0.164 0.836 Zn
0.500 0.836 0.164 Zn
0.194 0.925 0.428 Ag
0.806 0.572 0.075 Ag
0.806 0.075 0.572 Ag
0.194 0.428 0.925 Ag
0.000 0.000 0.000 Ag
0.824 0.596 0.596 Ag
0.176 0.404 0.404 Ag


[7]
Al2ZnAg | Alexandria via LeMat-Bulk | PBE | optimized geometry; magnetic moment = 0.0 μB per formula unit; raw total energy = -2.802 eV per atom
1.0
-2.928 0.374 1.475
-2.025 -1.955 -3.524
0.480 -4.072 1.983
Zn Al Ag
1 2 1
Direct
0.500 0.000 0.500 Zn
0.000 0.000 0.000 Al
0.500 0.500 0.000 Al
0.000 0.500 0.500 Ag


[8]
Al7ZnAg3 | Alexandria via LeMat-Bulk | PBE | optimized geometry; magnetic moment = 0.0 μB per formula unit; raw total energy = -3.160 eV per atom
1.0
-0.452 -5.114 -1.867
3.496 0.351 5.609
-5.117 1.770 3.807
Al Zn Ag
7 1 3
Direct
0.438 0.236 0.236 Al
0.286 0.073 0.578 Al
0.714 0.422 0.927 Al
0.286 0.578 0.073 Al
0.000 0.500 0.500 Al
0.714 0.927 0.422 Al
0.562 0.764 0.764 Al
0.500 0.500 0.500 Zn
0.000 0.825 0.175 Ag
0.500 0.000 0.000 Ag
0.000 0.175 0.825 Ag


[9]
Al3Zn3Ag2 | Alexandria via LeMat-Bulk | PBE | optimized geometry; distance to the lowest polymorph of the same formula = 0.0 kJ per mole of atoms; magnetic moment = 0.0 μB per formula unit; raw total energy = -2.594 eV per atom
1.0
-0.760 -4.964 -0.779
4.540 -1.021 2.044
-2.156 -0.384 4.586
Al Zn Ag
3 3 2
Direct
0.253 0.747 0.000 Al
0.000 0.253 0.253 Al
0.747 0.000 0.747 Al
0.253 0.747 0.500 Zn
0.500 0.253 0.253 Zn
0.747 0.500 0.747 Zn
0.246 0.246 0.754 Ag
0.754 0.754 0.246 Ag


[10]
Al2ZnAg | Alexandria via LeMat-Bulk | PBE | optimized geometry; magnetic moment = 0.0 μB per formula unit; raw total energy = -2.859 eV per atom
1.0
4.603 0.000 0.000
0.000 5.306 0.000
0.000 0.000 11.612
Al Zn Ag
8 4 4
Direct
0.750 0.361 0.532 Al
0.250 0.639 0.468 Al
0.750 0.861 0.968 Al
0.250 0.139 0.032 Al
0.750 0.111 0.752 Al
0.250 0.389 0.252 Al
0.750 0.611 0.748 Al
0.250 0.889 0.248 Al
0.750 0.144 0.204 Zn
0.250 0.856 0.796 Zn
0.750 0.644 0.296 Zn
0.250 0.356 0.704 Zn
0.250 0.640 0.041 Ag
0.250 0.140 0.459 Ag
0.750 0.360 0.959 Ag
0.750 0.860 0.541 Ag


[11]
AlZn2Ag | Alexandria via LeMat-Bulk | PBE | optimized geometry; magnetic moment = 0.0 μB per formula unit; raw total energy = -2.311 eV per atom
1.0
9.063 0.036 0.021
8.588 2.893 0.021
8.588 1.425 2.518
Zn Al Ag
2 1 1
Direct
0.000 0.000 0.000 Zn
0.500 0.500 0.500 Zn
0.750 0.750 0.750 Al
0.250 0.250 0.250 Ag


[12]
Al2Zn3Ag3 | Alexandria via LeMat-Bulk | PBE | optimized geometry; magnetic moment = 0.0 μB per formula unit; raw total energy = -2.484 eV per atom
1.0
4.752 0.000 0.000
0.000 4.996 -0.363
-2.376 -1.973 5.724
Al Zn Ag
2 3 3
Direct
0.250 0.200 0.499 Al
0.750 0.800 0.501 Al
0.621 0.157 0.241 Zn
0.500 0.500 0.000 Zn
0.379 0.843 0.759 Zn
0.133 0.607 0.267 Ag
0.867 0.393 0.733 Ag
0.000 0.000 0.000 Ag


> What is the formula in the fifth record?

AlZn2Ag


> Number 10 is which compound?

Al2ZnAg


> Number 7 is which compound?

Al2ZnAg